Record 1
MnTc3Mo: relaxed, PBE-GGA.

Properties
Final energy: -8.11 eV per atom
Space group: Pm-3m
Magnetization: 0.2 Bohr magnetons per cell
ΔE to the lowest computed polymorph: 876 meV per atom

Structure (POSCAR):
```
MnTc3Mo
1.0
4.6042 0.0000 0.0000
0.0000 4.6042 0.0000
0.0000 0.0000 4.6042
Mn Tc Mo
1 3 1
Cartesian
0.0000 0.0000 0.0000 Mn
0.0000 2.3021 2.3021 Tc
2.3021 0.0000 2.3021 Tc
2.3021 2.3021 0.0000 Tc
2.3021 2.3021 2.3021 Mo
```

***

Record 2
MnTc2Mo: relaxed, PBE-GGA.

Properties
Final energy: -10.02 eV per atom
Space group: Cm
Magnetization: 1.3 Bohr magnetons per cell

Structure (POSCAR):
```
MnTc2Mo
1.0
4.5102 -1.3702 0.0000
4.5102 1.3702 0.0000
-0.8576 0.0000 4.6274
Mn Tc Mo
1 2 1
Cartesian
0.0000 0.0000 0.0000 Mn
4.0192 0.0000 2.2465 Tc
6.4609 0.0000 1.1181 Tc
1.6202 0.0000 3.4970 Mo
```

***

Record 3
Mn2TcMo: relaxed, PBE-GGA.

Properties
Final energy: -9.25 eV per atom
Space group: I-42d
Magnetization: 7.3 Bohr magnetons per cell
ΔE to the lowest computed polymorph: 545 meV per atom

Structure (POSCAR):
```
Mn2TcMo
1.0
-3.3433 3.3433 2.6111
3.3433 -3.3433 2.6111
3.3433 3.3433 -2.6111
Mn Tc Mo
4 2 2
Cartesian
5.0149 1.6381 -0.6528 Mn
1.6381 1.6716 0.6528 Mn
-1.6716 1.7051 1.9583 Mn
1.7051 1.6716 3.2639 Mn
0.0000 0.0000 0.0000 Tc
0.0000 3.3433 1.3056 Tc
3.3433 0.0000 1.3056 Mo
0.0000 0.0000 2.6111 Mo
```

***

Record 4
MnTc2Mo: relaxed, PBE-GGA.

Properties
Final energy: -9.99 eV per atom
Space group: R3m
Magnetization: 2.6 Bohr magnetons per cell

Structure (POSCAR):
```
MnTc2Mo
1.0
1.3683 0.7900 8.9823
-1.3683 0.7900 8.9823
0.0000 -1.5800 8.9823
Mn Tc Mo
1 2 1
Cartesian
0.0000 0.0000 0.0000 Mn
0.0000 0.0000 6.7919 Tc
0.0000 0.0000 13.6003 Tc
0.0000 0.0000 20.2174 Mo
```

***

Record 5
MnTc2Mo: relaxed, PBE-GGA.

Properties
Final energy: -9.98 eV per atom
Space group: R-3m
Magnetization: 0.7 Bohr magnetons per cell

Structure (POSCAR):
```
MnTc2Mo
1.0
1.3587 0.7844 8.8708
-1.3587 0.7844 8.8708
0.0000 -1.5689 8.8708
Mn Tc Mo
1 2 1
Cartesian
0.0000 0.0000 0.0000 Mn
0.0000 0.0000 6.8183 Tc
0.0000 0.0000 19.7940 Tc
0.0000 0.0000 13.3062 Mo
```

***

Record 6
MnTcMo4: relaxed, PBE-GGA.

Properties
Final energy: -10.09 eV per atom
Space group: F-43m
Magnetization: 3.7 Bohr magnetons per cell

Structure (POSCAR):
```
MnTcMo4
1.0
0.0000 3.6543 3.6543
3.6543 0.0000 3.6543
3.6543 3.6543 0.0000
Mn Tc Mo
1 1 4
Cartesian
0.0000 0.0000 0.0000 Mn
1.8271 1.8271 1.8271 Tc
4.5724 2.7362 2.7362 Mo
2.7362 4.5724 2.7362 Mo
2.7362 2.7362 4.5724 Mo
4.5724 4.5724 4.5724 Mo
```

***

Record 7
Mn2TcMo: relaxed, PBE-GGA.

Properties
Final energy: -9.64 eV per atom
Space group: R3m
Magnetization: 0.4 Bohr magnetons per cell
ΔE to the lowest computed polymorph: 156 meV per atom

Structure (POSCAR):
```
Mn2TcMo
1.0
1.3436 0.7757 8.6961
-1.3436 0.7757 8.6961
0.0000 -1.5515 8.6961
Mn Tc Mo
2 1 1
Cartesian
0.0000 0.0000 0.0000 Mn
0.0000 0.0000 6.8049 Mn
0.0000 0.0000 19.5154 Tc
0.0000 0.0000 13.2099 Mo
```

***

Record 8
Mn2TcMo: relaxed, PBE-GGA.

Properties
Final energy: -9.74 eV per atom
Space group: P4mm
Magnetization: 0.1 Bohr magnetons per cell
ΔE to the lowest computed polymorph: 48 meV per atom

Structure (POSCAR):
```
Mn2TcMo
1.0
2.6640 0.0000 0.0000
0.0000 2.6640 0.0000
0.0000 0.0000 7.3931
Mn Tc Mo
2 1 1
Cartesian
0.0000 0.0000 0.0000 Mn
1.3320 1.3320 1.4613 Mn
1.3320 1.3320 5.6007 Tc
0.0000 0.0000 3.3926 Mo
```

***

Record 9
Mn2TcMo: relaxed, PBE-GGA.

Properties
Final energy: -9.78 eV per atom
Space group: Pm
Magnetization: 3.7 Bohr magnetons per cell
ΔE to the lowest computed polymorph: 13 meV per atom

Structure (POSCAR):
```
Mn2TcMo
1.0
2.6182 0.0000 0.0000
0.0000 4.2808 0.0000
-0.7582 0.0000 4.8394
Mn Tc Mo
2 1 1
Cartesian
0.0000 0.0000 0.0000 Mn
-0.0327 2.1404 3.5918 Mn
0.9067 0.0000 2.5133 Tc
1.6945 2.1404 1.1241 Mo
```

***

Record 10
MnTcMo: relaxed, PBE-GGA.

Properties
Final energy: -10.03 eV per atom
Space group: P3m1
Magnetization: 2.5 Bohr magnetons per cell
ΔE to the lowest computed polymorph: 0 meV per atom

Structure (POSCAR):
```
MnTcMo
1.0
4.3412 0.0000 0.0000
-2.1706 3.7596 0.0000
0.0000 0.0000 2.6389
Mn Tc Mo
1 1 1
Cartesian
0.0000 0.0000 0.0000 Mn
0.0000 2.5064 1.6432 Tc
2.1706 1.2532 0.8225 Mo
```

***

Record 11
MnTcMo: relaxed, PBE-GGA.

Properties
Final energy: -10.02 eV per atom
Space group: I4mm
Magnetization: 2.6 Bohr magnetons per cell
ΔE to the lowest computed polymorph: 15 meV per atom

Structure (POSCAR):
```
MnTcMo
1.0
-1.5566 1.5566 4.4937
1.5566 -1.5566 4.4937
1.5566 1.5566 -4.4937
Mn Tc Mo
1 1 1
Cartesian
0.0000 0.0000 0.0000 Mn
0.0000 0.0000 2.9645 Tc
0.0000 0.0000 6.0067 Mo
```

***

Record 12
MnTc2Mo: relaxed, PBE-GGA.

Properties
Final energy: -10.00 eV per atom
Space group: Cmmm
Magnetization: 1.4 Bohr magnetons per cell

Structure (POSCAR):
```
MnTc2Mo
1.0
2.7410 -3.8205 0.0000
2.7410 3.8205 0.0000
0.0000 0.0000 2.7441
Mn Tc Mo
1 2 1
Cartesian
0.0000 0.0000 0.0000 Mn
1.3705 1.9102 1.3720 Tc
1.3705 -1.9102 1.3720 Tc
2.7410 0.0000 0.0000 Mo
```